Density functional theory data (PBE) for a relaxed Cs2Rb2Br3 crystal.

a = 5.095 Å, b = 8.871 Å, c = 9.037 Å
α = 101.79°, β = 106.38°, γ = 90.00°
Positions (direct):
1 Br 0.252 0.741 0.503
2 Br 0.748 0.259 0.497
3 Br 0.000 0.000 0.000
4 Rb 0.868 0.635 0.735
5 Rb 0.132 0.365 0.265
6 Cs 0.378 0.135 0.755
7 Cs 0.622 0.865 0.245

Values from the calculation:
DOS(E_F)   2.05 states/eV per cell
Total magnetization   0.00 μB per formula unit
Theoretical density   2933 kg/m3
Symmetry   No. 12
Raw total energy   -19.013 eV/cell

Density functional theory data (PBE) for a relaxed Rb2YPdO4 crystal.

a = 5.937 Å, b = 7.526 Å, c = 12.138 Å
α = 84.46°, β = 75.84°, γ = 66.77°
Last column: magnetic moment on the atom in μB.
Positions (direct):
1 Rb 0.195 0.000 0.610  0.00
2 Rb 0.945 0.500 0.110  0.00
3 Rb 0.555 0.500 0.890  0.00
4 Rb 0.805 0.000 0.390  0.00
5 O 0.568 0.296 0.539  0.13
6 O 0.893 0.704 0.539  0.13
7 O 0.136 0.296 0.461  0.13
8 O 0.403 0.704 0.461  0.13
9 O 0.857 0.796 0.961  0.13
10 O 0.347 0.796 0.039  0.13
11 O 0.614 0.204 0.039  0.13
12 O 0.182 0.204 0.961  0.13
13 Y 0.750 0.500 0.500  -0.01
14 Y 0.000 0.000 0.000  -0.01
15 Pd 0.500 0.000 0.000  0.44
16 Pd 0.250 0.500 0.500  0.44

Values from the calculation:
DOS(E_F)   10.44 states/eV per cell
Total magnetization   1.07 μB per formula unit
Theoretical density   2957 kg/m3
Symmetry   No. 70
Raw total energy   -88.792 eV/cell

Density functional theory data (PBE) for a relaxed SmY14Mg crystal.

a = 6.941 Å, b = 6.941 Å, c = 11.125 Å
α = 90.00°, β = 90.00°, γ = 106.77°
Positions (direct):
1 Y 0.894 0.662 0.000
2 Y 0.682 0.898 0.758
3 Y 0.823 0.177 0.500
4 Y 0.310 0.112 0.500
5 Y 0.172 0.828 0.253
6 Y 0.102 0.318 0.242
7 Y 0.613 0.387 0.253
8 Y 0.682 0.898 0.242
9 Y 0.172 0.828 0.747
10 Y 0.378 0.622 0.500
11 Y 0.338 0.106 0.000
12 Y 0.888 0.690 0.500
13 Y 0.102 0.318 0.758
14 Y 0.613 0.387 0.747
15 Sm 0.382 0.618 0.000
16 Mg 0.847 0.153 0.000

Values from the calculation:
DOS(E_F)   29.29 states/eV per cell
Total magnetization   0.00 μB per formula unit
Theoretical density   4592 kg/m3
E_form   1.15 kcal/mol of atoms
Symmetry   No. 38

Density functional theory data (PBE) for a relaxed La2Zn12Pt5 crystal.

a = 6.929 Å, b = 6.929 Å, c = 6.929 Å
α = 84.47°, β = 84.47°, γ = 84.47°
Positions (direct):
1 Pt 0.000 0.500 0.000
2 Pt 0.000 0.000 0.500
3 Pt 0.500 0.000 0.000
4 Pt 0.891 0.891 0.891
5 Pt 0.109 0.109 0.109
6 La 0.667 0.667 0.667
7 La 0.333 0.333 0.333
8 Zn 0.347 0.347 0.848
9 Zn 0.848 0.347 0.347
10 Zn 0.715 0.285 0.000
11 Zn 0.653 0.152 0.653
12 Zn 0.347 0.848 0.347
13 Zn 0.653 0.653 0.152
14 Zn 0.000 0.285 0.715
15 Zn 0.285 0.000 0.715
16 Zn 0.285 0.715 0.000
17 Zn 0.000 0.715 0.285
18 Zn 0.715 0.000 0.285
19 Zn 0.152 0.653 0.653

Values from the calculation:
DOS(E_F)   6.66 states/eV per cell
Total magnetization   0.00 μB per formula unit
Theoretical density   10307 kg/m3
E_form   -11.03 kcal/mol of atoms
Symmetry   No. 166

Density functional theory data (PBE) for a relaxed PrSm4Sc crystal.

a = 5.636 Å, b = 9.839 Å, c = 7.031 Å
α = 90.00°, β = 90.00°, γ = 90.00°
Positions (direct):
1 Sm 0.748 0.579 0.250
2 Sm 0.754 0.917 0.250
3 Sm 0.750 0.262 0.000
4 Sm 0.250 0.738 0.500
5 Sm 0.246 0.083 0.750
6 Sm 0.250 0.738 0.000
7 Sm 0.750 0.262 0.500
8 Sm 0.252 0.421 0.750
9 Sc 0.752 0.582 0.750
10 Sc 0.248 0.418 0.250
11 Pr 0.746 0.909 0.750
12 Pr 0.254 0.091 0.250

Values from the calculation:
DOS(E_F)   20.52 states/eV per cell
Total magnetization   0.00 μB per formula unit
Theoretical density   6706 kg/m3
E_form   1.65 kcal/mol of atoms
Symmetry   No. 11

Density functional theory data (PBE) for a relaxed WI2NCl crystal.

a = 5.552 Å, b = 5.552 Å, c = 3.840 Å
α = 90.00°, β = 90.00°, γ = 90.00°
Positions (direct):
1 I 0.500 0.000 0.000
2 I 0.000 0.500 0.000
3 W 0.000 0.000 0.000
4 N 0.000 0.000 0.500
5 Cl 0.500 0.500 0.500

Values from the calculation:
DOS(E_F)   4.37 states/eV per cell
Total magnetization   0.00 μB per formula unit
Theoretical density   6834 kg/m3
Symmetry   No. 123
Raw total energy   -24.609 eV/cell

Density functional theory data (PBE) for a relaxed TmMg9Zn2 crystal.

a = 7.498 Å, b = 9.193 Å, c = 9.193 Å
α = 80.43°, β = 65.93°, γ = 65.93°
Positions (direct):
1 Tm 0.500 0.000 0.000
2 Tm 0.250 0.500 0.500
3 Zn 0.875 0.250 0.750
4 Zn 0.875 0.250 0.250
5 Zn 0.375 0.750 0.750
6 Zn 0.875 0.750 0.250
7 Mg 0.074 0.318 0.925
8 Mg 0.749 0.575 0.818
9 Mg 0.433 0.818 0.425
10 Mg 0.001 0.682 0.925
11 Mg 0.074 0.925 0.318
12 Mg 0.317 0.075 0.682
13 Mg 0.001 0.925 0.682
14 Mg 0.608 0.075 0.318
15 Mg 0.749 0.818 0.575
16 Mg 0.000 0.000 0.000
17 Mg 0.317 0.682 0.075
18 Mg 0.676 0.182 0.575
19 Mg 0.433 0.425 0.818
20 Mg 0.142 0.425 0.182
21 Mg 0.750 0.500 0.500
22 Mg 0.676 0.575 0.182
23 Mg 0.608 0.318 0.075
24 Mg 0.142 0.182 0.425

Values from the calculation:
DOS(E_F)   11.43 states/eV per cell
Total magnetization   0.00 μB per formula unit
Theoretical density   3260 kg/m3
E_form   -0.54 kcal/mol of atoms
Symmetry   No. 141

Density functional theory data (PBE) for a relaxed Ca4MgAl crystal.

a = 5.450 Å, b = 5.452 Å, c = 9.432 Å
α = 73.07°, β = 73.21°, γ = 60.01°
Positions (direct):
1 Mg 0.500 0.500 0.500
2 Ca 0.634 0.634 0.098
3 Ca 0.116 0.116 0.651
4 Ca 0.366 0.366 0.902
5 Ca 0.884 0.884 0.349
6 Al 0.000 0.000 0.000

Values from the calculation:
DOS(E_F)   7.90 states/eV per cell
Total magnetization   0.00 μB per formula unit
Theoretical density   1536 kg/m3
E_form   1.74 kcal/mol of atoms
Symmetry   No. 12

Density functional theory data (PBE) for a relaxed LiTiPdPb crystal.

a = 4.629 Å, b = 4.629 Å, c = 4.629 Å
α = 60.00°, β = 60.00°, γ = 60.00°
Positions (direct):
1 Ti 0.250 0.250 0.250
2 Li 0.750 0.750 0.750
3 Pb 0.000 0.000 0.000
4 Pd 0.500 0.500 0.500

Values from the calculation:
DOS(E_F)   2.03 states/eV per cell
Total magnetization   0.00 μB per formula unit
Theoretical density   8724 kg/m3
E_form   -6.56 kcal/mol of atoms
Symmetry   No. 216

Density functional theory data (PBE) for a relaxed CdHgMo2 crystal.

a = 5.025 Å, b = 5.025 Å, c = 5.391 Å
α = 85.55°, β = 85.55°, γ = 32.24°
Positions (direct):
1 Cd 0.500 0.500 0.507
2 Mo 0.248 0.248 0.224
3 Mo 0.004 0.004 0.028
4 Hg 0.748 0.748 0.741

Values from the calculation:
DOS(E_F)   2.02 states/eV per cell
Total magnetization   0.00 μB per formula unit
Theoretical density   11586 kg/m3
E_form   11.83 kcal/mol of atoms
Symmetry   No. 8

Density functional theory data (PBE) for a relaxed Ho3ErN4 crystal.

a = 5.966 Å, b = 5.965 Å, c = 6.891 Å
α = 90.00°, β = 90.00°, γ = 109.46°
Positions (direct):
1 Ho 0.750 0.500 0.125
2 Ho 0.750 0.500 0.625
3 Ho 0.250 0.500 0.875
4 Ho 0.250 0.000 0.625
5 Ho 0.750 0.000 0.375
6 Ho 0.250 0.500 0.375
7 N 0.501 0.750 0.626
8 N 0.499 0.250 0.374
9 N 0.001 0.750 0.374
10 N 0.500 0.751 0.125
11 N 0.000 0.751 0.875
12 N 0.500 0.249 0.875
13 N 0.000 0.249 0.125
14 N 0.999 0.250 0.626
15 Er 0.250 0.000 0.125
16 Er 0.750 0.000 0.875

Values from the calculation:
DOS(E_F)   0.71 states/eV per cell
Total magnetization   0.00 μB per formula unit
Theoretical density   10314 kg/m3
Symmetry   No. 13
Raw total energy   -131.267 eV/cell

Density functional theory data (PBE) for a relaxed Er3Cu2Ni crystal.

a = 3.395 Å, b = 3.395 Å, c = 10.288 Å
α = 90.00°, β = 90.00°, γ = 90.00°
Positions (direct):
1 Er 0.000 0.000 0.660
2 Er 0.000 0.000 0.340
3 Er 0.000 0.000 0.000
4 Cu 0.500 0.500 0.169
5 Cu 0.500 0.500 0.831
6 Ni 0.500 0.500 0.500

Values from the calculation:
DOS(E_F)   4.16 states/eV per cell
Total magnetization   0.00 μB per formula unit
Theoretical density   9630 kg/m3
E_form   -7.66 kcal/mol of atoms
Symmetry   No. 123